[1]
Density functional theory data (PBE) for a geometry-optimized ZrSi2 structure.

The structure in CIF format:
```
data_ZrSi2
_chemical_formula_sum 'Zr3 Si6'
_symmetry_space_group_name_H-M 'P 1'
_symmetry_Int_Tables_number 1
_cell_length_a 3.658
_cell_length_b 3.658
_cell_length_c 14.056
_cell_angle_alpha 90.00
_cell_angle_beta 90.00
_cell_angle_gamma 120.00
loop_
_symmetry_equiv_pos_as_xyz
'x,y,z'
loop_
_atom_site_label
_atom_site_type_symbol
_atom_site_fract_x
_atom_site_fract_y
_atom_site_fract_z
Zr1 Zr 0.000 0.000 0.500
Zr2 Zr 0.333 0.667 0.167
Zr3 Zr 0.667 0.333 0.833
Si1 Si 0.000 0.000 0.294
Si2 Si 0.000 0.000 0.706
Si3 Si 0.333 0.667 0.961
Si4 Si 0.333 0.667 0.372
Si5 Si 0.667 0.333 0.628
Si6 Si 0.667 0.333 0.039
```

E, eV per atom: -7.02
Density of states at the Fermi level, states/eV per atom: 0.23
Raw formation energy, eV/f.u.: -1.65
Symmetry: R-3m
Magnetization, μB/atom: 0.00

[2]
Density functional theory data (PBE) for a geometry-optimized ZrSi2 structure.

The structure in CIF format:
```
data_ZrSi2
_chemical_formula_sum 'Zr1 Si2'
_symmetry_space_group_name_H-M 'P 1'
_symmetry_Int_Tables_number 1
_cell_length_a 5.134
_cell_length_b 5.134
_cell_length_c 5.134
_cell_angle_alpha 142.56
_cell_angle_beta 142.56
_cell_angle_gamma 53.98
loop_
_symmetry_equiv_pos_as_xyz
'x,y,z'
loop_
_atom_site_label
_atom_site_type_symbol
_atom_site_fract_x
_atom_site_fract_y
_atom_site_fract_z
Si1 Si 0.310 0.310 0.000
Si2 Si 0.690 0.690 0.000
Zr1 Zr 0.000 0.000 0.000
```

E, eV per atom: -6.85
Density of states at the Fermi level, states/eV per atom: 0.94
Raw formation energy, eV/f.u.: -1.14
Symmetry: I4/mmm
Magnetization, μB/atom: 0.00